[1]
A relaxed structure of BaY2F, computed with PBE.

E_tot = -4.125 eV/atom
Relative energy among the computed polymorphs = 1081 meV/atom
Space-group type = Fm-3m (225)
Crystal system = cubic
Uncorrected formation energy = 5 kJ/mol of atoms

Cell lengths 5.495, 5.495, 5.495 Å; angles 60.00, 60.00, 60.00 degrees
Positions (direct):
Ba1 0.000 0.000 0.000
Y1 0.250 0.250 0.250
Y2 0.750 0.750 0.750
F1 0.500 0.500 0.500


[2]
A relaxed structure of BaY3F, computed with PBE.

E_tot = -5.333 eV/atom
Relative energy among the computed polymorphs = 0 meV/atom
Space-group type = Pm-3m (221)
Crystal system = cubic
Uncorrected formation energy = -67 kJ/mol of atoms

Cell lengths 5.279, 5.279, 5.279 Å; angles 90.00, 90.00, 90.00 degrees
Positions (direct):
Ba1 0.000 0.000 0.000
Y1 0.000 0.500 0.500
Y2 0.500 0.000 0.500
Y3 0.500 0.500 0.000
F1 0.500 0.500 0.500


[3]
A relaxed structure of Ba2YF6, computed with PBE.

E_tot = -6.095 eV/atom
Space-group type = Immm (71)
Crystal system = orthorhombic
Uncorrected formation energy = -357 kJ/mol of atoms

Cell lengths 7.303, 7.303, 7.303 Å; angles 147.79, 127.54, 62.90 degrees
Positions (direct):
Ba1 0.153 0.153 0.000
Ba2 0.847 0.847 0.000
Y1 0.500 0.500 0.000
F1 0.139 0.345 0.794
F2 0.310 0.000 0.310
F3 0.450 0.655 0.794
F4 0.550 0.345 0.206
F5 0.690 0.000 0.690
F6 0.861 0.655 0.206


[4]
A relaxed structure of BaYF5, computed with PBE.

E_tot = -6.513 eV/atom
Relative energy among the computed polymorphs = 63 meV/atom
Space-group type = C2/c (15)
Crystal system = monoclinic
Uncorrected formation energy = -384 kJ/mol of atoms

Cell lengths 6.390, 6.390, 8.719 Å; angles 110.06, 110.06, 71.98 degrees
Positions (direct):
Ba1 0.040 0.960 0.750
Ba2 0.960 0.040 0.250
Y1 0.500 0.500 0.000
Y2 0.500 0.500 0.500
F1 0.200 0.784 0.027
F2 0.216 0.800 0.473
F3 0.255 0.287 0.383
F4 0.287 0.255 0.883
F5 0.427 0.573 0.750
F6 0.573 0.427 0.250
F7 0.713 0.745 0.117
F8 0.745 0.713 0.617
F9 0.784 0.200 0.527
F10 0.800 0.216 0.973


Among the records above, which one has the highest uncorrected formation energy?
BaY2F


The highest E_tot belongs to which entry?
BaY2F


What is the uncorrected formation energy in the second record?
-67 kJ/mol of atoms


The lowest uncorrected formation energy belongs to which entry?
BaYF5